PBE+U FeGeO3, relaxed; DFT total energy = -29.7 eV for the cell shown; spin magnetization = 0.80 μB/atom; density = 5.86 Mg/m³
1.0
3.685 0.000 0.000
0.000 3.685 0.000
0.000 0.000 3.685
Ge Fe O
1 1 3
direct
0.000 0.000 0.000
0.500 0.500 0.500
0.000 0.500 0.000
0.000 0.000 0.500
0.500 0.000 0.000